# 1
VASP calculation (PBEsol) on crystalline CoNiPt2 at its relaxed geometry.

a = 2.6584 Å, b = 2.6584 Å, c = 25.5576 Å
α = 90.00°, β = 90.00°, γ = 120.00°
With the nearest neighbours (Å) after each atom.
Space group R3m (No. 160, hexagonal axes)
Asymmetric unit:
Co  0.0000  0.0000  0.0000  3 Ni 2.42, 3 Pt 2.60, 6 Co 2.66
Ni  0.0000  0.0000  0.7397  3 Co 2.42, 3 Pt 2.62, 6 Ni 2.66
Pt  0.0000  0.0000  0.2513  3 Co 2.60, 9 Pt 2.66-2.87
Pt  0.0000  0.0000  0.4896  3 Ni 2.62, 9 Pt 2.66-2.87

Values from the calculation:
Spin magnetization: 9.13 μB/cell
Mass density: 16.17 g/cm³
V: 13.04 Å³/atom
Energy of formation from the pure elements: 0.0090 eV per atom



# 2
VASP calculation (PBEsol) on crystalline CoNi2Pt at its relaxed geometry.

a = 2.5859 Å, b = 3.5382 Å, c = 5.1088 Å
α = 90.00°, β = 90.00°, γ = 90.00°
With the nearest neighbours (Å) after each atom.
Space group Pmm2 (No. 25)
Asymmetric unit:
Co  0.0000  0.0000  0.0000  5 Ni 2.39-2.50, 4 Pt 2.57, 2 Co 2.59
Ni  0.0000  0.0000  0.4682  1 Co 2.39, 6 Ni 2.50-2.59, 4 Pt 2.58
Ni  0.5000  0.5000  0.2336  4 Co 2.50, 6 Ni 2.50-2.59, 2 Pt 2.54-2.57
Pt  0.5000  0.5000  0.7359  6 Ni 2.54-2.58, 4 Co 2.57, 2 Pt 2.59

Values from the calculation:
Spin magnetization: 3.43 μB/cell
Mass density: 13.19 g/cm³
V: 11.69 Å³/atom
Energy of formation from the pure elements: -0.0409 eV per atom



# 3
VASP calculation (PBEsol) on crystalline CoNiPt2 at its relaxed geometry.

a = 2.6671 Å, b = 2.6671 Å, c = 25.3278 Å
α = 90.00°, β = 90.00°, γ = 120.00°
With the nearest neighbours (Å) after each atom.
Space group R-3m (No. 166, hexagonal axes)
Asymmetric unit:
Co  0.0000  0.0000  0.0000  6 Pt 2.60, 6 Co 2.67
Ni  0.0000  0.0000  0.5000  6 Pt 2.62, 6 Ni 2.67
Pt  0.0000  0.0000  0.2504  3 Co 2.60, 3 Ni 2.62, 6 Pt 2.67

Values from the calculation:
Spin magnetization: 9.26 μB/cell
Mass density: 16.21 g/cm³
V: 13.00 Å³/atom
Energy of formation from the pure elements: -0.0392 eV per atom